(1)
Ce2PmHo3S6: relaxed, GGA-PBE.

Summary:
Calculated volume   262.6 Å³ per cell
M_tot   1.54 μB per cell
Energy relative to the elements, uncorrected   -2.020 eV/atom
SG   C2/m, No. 12

```
Ce2PmHo3S6
1.0
3.4048 -5.9032 0.0000
3.4048 5.9032 0.0000
-2.2778 0.0000 6.5332
Ce Pm Ho S
2 1 3 6
Direct
0.1665 0.8335 0.0000
0.8335 0.1665 0.0000
0.5000 0.5000 0.0000
0.0000 0.0000 0.5000
0.3353 0.6647 0.5000
0.6647 0.3353 0.5000
0.0778 0.4120 0.7358
0.2533 0.2533 0.2624
0.4120 0.0778 0.7358
0.5880 0.9222 0.2642
0.7467 0.7467 0.7376
0.9222 0.5880 0.2642
```

---

(2)
LiPr4Pt3: relaxed, GGA-PBE.

Summary:
Calculated volume   203.3 Å³ per cell
M_tot   0.00 μB per cell
SG   Pmm2, No. 25
ΔH_f (0 K)   -80 kJ/mol of atoms

```
LiPr4Pt3
1.0
3.9752 0.0000 0.0000
0.0000 4.6220 0.0000
0.0000 0.0000 11.0630
Li Pr Pt
1 4 3
Direct
0.0000 0.0000 0.0000
0.0000 0.0000 0.3085
0.0000 0.5000 0.5736
0.5000 0.0000 0.7886
0.5000 0.5000 0.0759
0.0000 0.5000 0.8659
0.5000 0.0000 0.5263
0.5000 0.5000 0.3491
```

---

(3)
Hf2Cd2Re: relaxed, GGA-PBE.

Summary:
Calculated volume   223.7 Å³ per cell
M_tot   0.41 μB per cell
Offset from the most stable computed form   52 meV/atom
SG   P4/mbm, No. 127
ΔH_f (0 K)   48 kJ/mol of atoms

```
Hf2Cd2Re
1.0
6.8241 0.0000 0.0000
0.0000 6.8241 0.0000
0.0000 0.0000 4.8031
Hf Cd Re
4 4 2
Direct
0.1573 0.3427 0.0000
0.3427 0.8427 0.0000
0.6573 0.1573 0.0000
0.8427 0.6573 0.0000
0.1534 0.6534 0.5000
0.3466 0.1534 0.5000
0.6534 0.8466 0.5000
0.8466 0.3466 0.5000
0.0000 0.0000 0.0000
0.5000 0.5000 0.0000
```

---

(4)
Mn2BeAs: relaxed, GGA-PBE.

Summary:
Calculated volume   46.8 Å³ per cell
M_tot   3.78 μB per cell
Offset from the most stable computed form   101 meV/atom
SG   Cm, No. 8
ΔH_f (0 K)   6 kJ/mol of atoms

```
Mn2BeAs
1.0
4.3248 -1.3827 0.0000
4.3248 1.3827 0.0000
-1.1404 0.0000 3.9125
Mn Be As
2 1 1
Direct
0.0000 0.0000 0.0000
0.2149 0.2149 0.6147
0.7384 0.7384 0.1172
0.4698 0.4698 0.4765
```

---

(5)
GaI3Cl: relaxed, GGA-PBE.

Summary:
Calculated volume   177.3 Å³ per cell
M_tot   1.15 μB per cell
Offset from the most stable computed form   466 meV/atom
Energy relative to the elements, uncorrected   0.090 eV/atom
SG   Pm-3m, No. 221

```
GaI3Cl
1.0
5.6179 0.0000 0.0000
0.0000 5.6179 0.0000
0.0000 0.0000 5.6179
Ga I Cl
1 3 1
Direct
0.0000 0.0000 0.0000
0.0000 0.0000 0.5000
0.0000 0.5000 0.0000
0.5000 0.0000 0.0000
0.5000 0.5000 0.5000
```

---

(6)
LaDyHoSc: relaxed, GGA-PBE.

Summary:
Calculated volume   124.8 Å³ per cell
M_tot   0.00 μB per cell
Offset from the most stable computed form   0 meV/atom
SG   Cm, No. 8
ΔH_f (0 K)   9 kJ/mol of atoms

```
LaDyHoSc
1.0
6.0684 -2.8386 0.0000
6.0684 2.8386 0.0000
-1.1995 0.0000 3.6234
La Dy Ho Sc
1 1 1 1
Direct
0.0000 0.0000 0.0000
0.7303 0.7303 0.2263
0.2683 0.2683 0.7642
0.4988 0.4988 0.4961
```